Record 1
Computed, not measured: Sc2Si3Pt4 after structural relaxation at the PBE level of DFT.

a b c (Å): 7.811 7.811 7.202
angles (deg): 90.00 90.00 139.02
Fractional coordinates of all 18 atoms:
Sc1 0.102 0.898 0.897
Sc2 0.398 0.602 0.397
Sc3 0.602 0.398 0.603
Sc4 0.898 0.102 0.103
Si1 0.000 0.000 0.500
Si2 0.014 0.486 0.750
Si3 0.486 0.014 0.250
Si4 0.500 0.500 0.000
Si5 0.514 0.986 0.750
Si6 0.986 0.514 0.250
Pt1 0.179 0.821 0.525
Pt2 0.187 0.313 0.750
Pt3 0.313 0.187 0.250
Pt4 0.321 0.679 0.025
Pt5 0.679 0.321 0.975
Pt6 0.687 0.813 0.750
Pt7 0.813 0.687 0.250
Pt8 0.821 0.179 0.475

Computed properties:
The symmetry is Cmce (64). As for the formation energy from raw total energies: -99.4 kJ/mol of atoms.

***

Record 2
Computed, not measured: SrPrHg3 after structural relaxation at the PBE level of DFT.

a b c (Å): 15.145 15.145 5.007
angles (deg): 90.00 90.00 164.98
Fractional coordinates of all 10 atoms:
Sr1 0.076 0.924 0.750
Sr2 0.924 0.076 0.250
Pr1 0.210 0.790 0.250
Pr2 0.790 0.210 0.750
Hg1 0.318 0.682 0.250
Hg2 0.377 0.623 0.750
Hg3 0.475 0.525 0.750
Hg4 0.525 0.475 0.250
Hg5 0.623 0.377 0.250
Hg6 0.682 0.318 0.750

Computed properties:
As for the formation energy: -0.46 eV per atom. The symmetry is Cmcm (63).

***

no.,total magnetization (μB/f.u.)
1,0.00
2,0.00